A | Sn3SI, optimized geometry, DFT PBE; space-group type = No. 221; total moment = 0.02 μB per cell; calculated density = 5091 kg/m3
1.0
5.518 0.000 0.000
0.000 5.518 0.000
0.000 0.000 5.518
Sn S I
3 1 1
Direct
0.000 0.000 0.500 Sn
0.000 0.500 0.000 Sn
0.500 0.000 0.000 Sn
0.000 0.000 0.000 S
0.500 0.500 0.500 I


B | Sn3SI, optimized geometry, DFT PBE; space-group type = No. 221; total moment = 1.20 μB per cell; calculated density = 4187 kg/m3
1.0
5.889 0.000 0.000
0.000 5.889 0.000
0.000 0.000 5.889
Sn S I
3 1 1
Direct
0.000 0.000 0.500 Sn
0.000 0.500 0.000 Sn
0.500 0.000 0.000 Sn
0.500 0.500 0.500 S
0.000 0.000 0.000 I


Least stable structure: B


A | SnTe2SI, optimized geometry, DFT PBE; space-group type = No. 123; total moment = 0.00 μB per cell; calculated density = 5634 kg/m3
1.0
5.301 0.000 0.000
0.000 5.301 0.000
0.000 0.000 5.589
Sn Te S I
1 2 1 1
Direct
0.000 0.000 0.000 Sn
0.000 0.500 0.500 Te
0.500 0.000 0.500 Te
0.500 0.500 0.500 S
0.500 0.500 0.000 I


B | SnTe2SI, optimized geometry, DFT PBE; space-group type = No. 123; total moment = 2.94 μB per cell; calculated density = 4449 kg/m3
1.0
5.769 0.000 0.000
0.000 5.769 0.000
0.000 0.000 5.976
Sn Te S I
1 2 1 1
Direct
0.000 0.000 0.000 Sn
0.000 0.500 0.000 Te
0.500 0.000 0.000 Te
0.500 0.500 0.500 S
0.000 0.000 0.500 I


Least stable structure: B


A | SrS3I, optimized geometry, DFT PBE; space-group type = No. 11; total moment = 0.00 μB per cell; calculated density = 3613 kg/m3
1.0
6.316 0.000 0.000
0.000 5.219 0.000
-2.452 0.000 8.664
Sr S I
2 6 2
Direct
0.151 0.250 0.271 Sr
0.849 0.750 0.729 Sr
0.137 0.250 0.910 S
0.406 0.750 0.220 S
0.472 0.250 0.964 S
0.528 0.750 0.036 S
0.594 0.250 0.780 S
0.863 0.750 0.090 S
0.253 0.750 0.542 I
0.747 0.250 0.458 I


B | SrS3I, optimized geometry, DFT PBE; space-group type = No. 221; total moment = 0.00 μB per cell; calculated density = 2939 kg/m3
1.0
5.599 0.000 0.000
0.000 5.599 0.000
0.000 0.000 5.599
Sr S I
1 3 1
Direct
0.000 0.000 0.000 Sr
0.000 0.000 0.500 S
0.000 0.500 0.000 S
0.500 0.000 0.000 S
0.500 0.500 0.500 I


Least stable structure: B


A | SrSI3, optimized geometry, DFT PBE; space-group type = No. 221; total moment = 3.00 μB per cell; calculated density = 3123 kg/m3
1.0
6.431 0.000 0.000
0.000 6.431 0.000
0.000 0.000 6.431
Sr S I
1 1 3
Direct
0.000 0.000 0.000 Sr
0.500 0.500 0.500 S
0.000 0.000 0.500 I
0.000 0.500 0.000 I
0.500 0.000 0.000 I


B | SrSI3, optimized geometry, DFT PBE; space-group type = No. 221; total moment = 0.00 μB per cell; calculated density = 4496 kg/m3
1.0
5.696 0.000 0.000
0.000 5.696 0.000
0.000 0.000 5.696
Sr S I
1 1 3
Direct
0.000 0.000 0.000 Sr
0.500 0.500 0.500 S
0.000 0.500 0.500 I
0.500 0.000 0.500 I
0.500 0.500 0.000 I


Least stable structure: A